# 1
VASP calculation (PBE-GGA) on CsRb2Zn after structural relaxation.

Lattice parameters (Å, degrees): 4.7443 4.7443 12.3588 90.00 90.00 90.00
Last column: nearest neighbours and their distance in Å.
Space group P4/mmm (No. 123)
Asymmetric unit:
Cs: 0.0000 0.0000 0.0000 x1  4 Cs 4.74, 8 Rb 5.28
Rb: 0.5000 0.5000 0.3294 x2  4 Zn 3.96, 1 Rb 4.22
Zn: 0.0000 0.0000 0.5000 x1  8 Rb 3.96

Calculated values
ΔE_f = 12.8 kJ per mole of atoms
DOS at the Fermi energy = 0.853 states/eV per atom
Theoretical density = 2204 kg/m³
M_tot = 0.00 μB/atom


# 2
VASP calculation (PBE-GGA) on CeY6Se8 after structural relaxation.

Lattice parameters (Å, degrees): 11.2723 11.2723 12.8011 90.00 90.00 120.00
Last column: nearest neighbours and their distance in Å.
Space group R-3 (No. 148, hexagonal axes)
Asymmetric unit:
Ce: 0.0000 0.0000 0.0000 x3  2 Se 2.99
Y: 0.0158 0.8216 0.3850 x18  5 Se 2.78-3.03
Se: 0.0000 0.0000 0.2339 x6  3 Y 2.86, 1 Ce 2.99
Se: 0.0203 0.6250 0.2562 x18  4 Y 2.78-3.03

Calculated values
DOS at the Fermi energy = 1.225 states/eV per atom
Theoretical density = 4616 kg/m³
M_tot = 0.03 μB/atom
Energy relative to the lowest polymorph listed for this composition = 0.304 eV/atom


# 3
VASP calculation (PBE-GGA) on CrCo2Ir after structural relaxation.

Lattice parameters (Å, degrees): 2.7797 4.2937 8.3667 90.00 90.00 90.00
Last column: nearest neighbours and their distance in Å.
Space group Cmmm (No. 65)
Asymmetric unit:
Cr: 0.0000 0.0000 0.0000 x2  4 Co 2.41, 4 Cr 2.56
Co: 0.0000 0.5000 0.2359 x4  2 Cr 2.41, 4 Co 2.56, 2 Ir 2.61
Ir: 0.0000 0.0000 0.5000 x2  6 Ir 2.56-2.78, 4 Co 2.61

Calculated values
ΔE_f = 25.6 kJ per mole of atoms
DOS at the Fermi energy = 1.406 states/eV per atom
Theoretical density = 12042 kg/m³
M_tot = 1.09 μB/atom
Energy relative to the lowest polymorph listed for this composition = 0.345 eV/atom


# 4
VASP calculation (PBE-GGA) on HgSb2As after structural relaxation.

Lattice parameters (Å, degrees): 5.1807 6.7790 6.8712 84.12 76.74 75.86
Last column: nearest neighbours and their distance in Å.
Space group P1 (No. 1)
Asymmetric unit:
Hg: 0.0000 0.0000 0.0000 x1  1 As 2.94, 3 Sb 3.11-3.22, 1 Hg 3.13
Hg: 0.2832 0.3664 0.8789 x1  2 Sb 2.91-2.92, 1 Hg 3.13, 2 As 3.21-3.22
Sb: 0.2677 0.8467 0.3807 x1  1 As 2.72, 1 Sb 2.91
Sb: 0.5285 0.7693 0.7232 x1  2 Sb 2.91-2.94, 1 As 3.06, 1 Hg 3.11
Sb: 0.7496 0.1345 0.6067 x1  1 As 2.75, 1 Hg 2.91, 1 Sb 2.94
Sb: 0.8032 0.5697 0.1613 x1  2 As 2.73-2.74, 1 Hg 2.92
As: 0.0508 0.5135 0.4789 x1  2 Sb 2.72-2.73, 1 As 2.89
As: 0.5437 0.2553 0.2679 x1  2 Sb 2.74-2.75, 1 As 2.89, 1 Hg 2.94

Calculated values
DOS at the Fermi energy = 0.281 states/eV per atom
Theoretical density = 7577 kg/m³
M_tot = 0.00 μB/atom
Energy relative to the lowest polymorph listed for this composition = 0.045 eV/atom


# 5
VASP calculation (PBE-GGA) on NdHo2 after structural relaxation.

Lattice parameters (Å, degrees): 3.5913 3.5913 52.0631 90.00 90.00 120.00
Last column: nearest neighbours and their distance in Å.
Space group R-3m (No. 166, hexagonal axes)
Asymmetric unit:
Nd: 0.0000 0.0000 0.0836 x6  6 Ho 3.58-3.59, 6 Nd 3.59
Ho: 0.0000 0.0000 0.1936 x6  9 Ho 3.49-3.59, 3 Nd 3.58
Ho: 0.0000 0.0000 0.3606 x6  9 Ho 3.52-3.59, 3 Nd 3.59

Calculated values
ΔE_f = 0.6 kJ per mole of atoms
DOS at the Fermi energy = 1.297 states/eV per atom
Theoretical density = 8123 kg/m³
M_tot = 0.00 μB/atom
Energy relative to the lowest polymorph listed for this composition = 0.012 eV/atom


# 6
VASP calculation (PBE-GGA) on Na3Sm2SbSe6 after structural relaxation.

Lattice parameters (Å, degrees): 7.3073 12.6552 7.4171 90.00 109.14 90.00
Last column: nearest neighbours and their distance in Å.
Space group C2/m (No. 12)
Asymmetric unit:
Na: 0.0000 0.0000 0.0000 x2  6 Se 3.06-3.10
Na: 0.0000 0.3365 0.0000 x4  6 Se 3.04-3.12
Sm: 0.0000 0.1670 0.5000 x4  6 Se 2.94
Sb: 0.0000 0.5000 0.5000 x2  6 Se 2.90-2.91
Se: 0.2424 0.3353 0.7331 x8  1 Sb 2.91, 2 Sm 2.94, 3 Na 3.06-3.12
Se: 0.2475 0.0000 0.7313 x4  1 Sb 2.90, 2 Sm 2.94, 3 Na 3.04-3.10

Calculated values
DOS at the Fermi energy = 0.000 states/eV per atom
Theoretical density = 4947 kg/m³
M_tot = 0.00 μB/atom


Results for VASP energy: -0.88 -6.35 -7.91 -3.22 -4.63 -4.54 (in eV/atom, following the order of the records).